VASP calculation (PBEsol) on an optimized crystal structure of La2MgIn.

```
La2MgIn
1.0
-3.254 2.251 0.443
-2.109 -3.715 3.385
2.327 2.532 4.228
La In Mg
2 1 1
Direct
0.000 0.000 0.500
0.000 0.500 0.000
0.500 0.000 0.000
0.500 0.500 0.500
```

**Energy of formation from the pure elements**: -0.322 eV/atom



VASP calculation (PBEsol) on an optimized crystal structure of La2MgIn.

```
La2MgIn
1.0
4.740 0.000 0.000
0.000 4.740 0.000
-2.370 -2.370 5.036
La In Mg
2 1 1
Direct
0.750 0.250 0.500
0.000 0.000 0.000
0.250 0.750 0.500
0.500 0.500 0.000
```

**Energy of formation from the pure elements**: -0.271 eV/atom



VASP calculation (PBEsol) on an optimized crystal structure of La2MgIn.

```
La2MgIn
1.0
3.576 0.000 0.000
0.000 4.588 0.000
0.000 0.000 7.123
La Mg In
2 1 1
Direct
0.000 0.000 0.263
0.000 0.000 0.737
0.500 0.500 0.000
0.500 0.500 0.500
```

**Energy of formation from the pure elements**: -0.316 eV/atom



VASP calculation (PBEsol) on an optimized crystal structure of La2MgIn.

```
La2MgIn
1.0
-2.072 0.788 3.171
4.159 -1.649 3.128
0.952 5.502 -3.106
La In Mg
2 1 1
Direct
0.242 0.743 0.484
0.010 0.009 0.020
0.775 0.275 0.549
0.474 0.473 0.947
```

**Energy of formation from the pure elements**: -0.297 eV/atom



VASP calculation (PBEsol) on an optimized crystal structure of LaIn2Mo.

```
LaIn2Mo
1.0
-1.966 -4.100 0.109
1.455 -0.585 4.267
-3.389 4.129 -0.700
In La Mo
2 1 1
Direct
0.750 0.750 0.500
0.250 0.250 0.500
0.500 0.000 0.000
0.000 0.500 0.000
```

**Energy of formation from the pure elements**: 0.110 eV/atom
**Distance to the lowest polymorph of the same formula**: 0.000 eV/f.u.



VASP calculation (PBEsol) on an optimized crystal structure of La2InMo.

```
La2InMo
1.0
-0.023 -1.099 -3.301
-0.622 -3.347 -0.714
-10.060 0.470 -1.920
La In Mo
2 1 1
Direct
0.238 0.238 0.285
0.762 0.762 0.715
0.000 0.000 0.000
0.500 0.500 0.500
```

**Energy of formation from the pure elements**: 0.331 eV/atom